[1]
# BaNi2Te PBEsol optimized geometry
data_BaNi2Te
_chemical_formula_sum 'Ba2 Ni4 Te2'
_cell_length_a 4.452
_cell_length_b 5.671
_cell_length_c 6.973
_cell_angle_alpha 90.00
_cell_angle_beta 90.00
_cell_angle_gamma 90.00
_symmetry_space_group_name_H-M 'I m m m'
_symmetry_Int_Tables_number 71
_symmetry_space_group_name_Hall '-I 2 2'
loop_
_atom_site_label
_atom_site_type_symbol
_atom_site_fract_x
_atom_site_fract_y
_atom_site_fract_z
Ba1 Ba 0.000 0.000 0.000
Ni1 Ni 0.000 0.500 0.172
Te1 Te 0.000 0.000 0.500
# Total moment ... 0.000 μB/atom
# VASP energy ... -4.51 eV/atom


[2]
# YScSi PBEsol optimized geometry
data_YScSi
_chemical_formula_sum 'Y4 Sc4 Si4'
_cell_length_a 6.691
_cell_length_b 6.691
_cell_length_c 6.691
_cell_angle_alpha 90.00
_cell_angle_beta 90.00
_cell_angle_gamma 90.00
_symmetry_space_group_name_H-M 'F -4 3 m'
_symmetry_Int_Tables_number 216
_symmetry_space_group_name_Hall 'F -4 2 3'
loop_
_atom_site_label
_atom_site_type_symbol
_atom_site_fract_x
_atom_site_fract_y
_atom_site_fract_z
Y1 Y 0.000 0.000 0.000
Sc1 Sc 0.250 0.250 0.750
Si1 Si 0.250 0.250 0.250
# Total moment ... 0.004 μB/atom
# Relative energy among the computed polymorphs ... 0.943 eV per atom


[3]
# CrCdC2 PBEsol optimized geometry
data_CrCdC2
_chemical_formula_sum 'Cr4 Cd4 C8'
_cell_length_a 4.817
_cell_length_b 4.817
_cell_length_c 8.974
_cell_angle_alpha 90.00
_cell_angle_beta 90.00
_cell_angle_gamma 90.00
_symmetry_space_group_name_H-M 'I -4 2 d'
_symmetry_Int_Tables_number 122
_symmetry_space_group_name_Hall 'I -4 2bw'
loop_
_atom_site_label
_atom_site_type_symbol
_atom_site_fract_x
_atom_site_fract_y
_atom_site_fract_z
Cr1 Cr 0.000 0.000 0.000
Cd1 Cd 0.000 0.000 0.500
C1 C 0.167 0.250 0.125
# Energy of formation ... 3.7 eV per formula unit
# Total moment ... 0.000 μB/atom


[4]
# MgBeHg PBEsol optimized geometry
data_MgBeHg
_chemical_formula_sum 'Mg1 Be1 Hg1'
_cell_length_a 3.0963
_cell_length_b 3.0963
_cell_length_c 6.3491
_cell_angle_alpha 90.00
_cell_angle_beta 90.00
_cell_angle_gamma 120.00
_symmetry_space_group_name_H-M 'P 3 m 1'
_symmetry_Int_Tables_number 156
loop_
_symmetry_equiv_pos_as_xyz
'x,y,z'
'-y,x-y,z'
'-x+y,-x,z'
'-y,-x,z'
'-x+y,y,z'
'x,x-y,z'
loop_
_atom_site_label
_atom_site_type_symbol
_atom_site_fract_x
_atom_site_fract_y
_atom_site_fract_z
Mg1 Mg 0.0000 0.0000 0.0000
Be1 Be 0.3333 0.6667 0.6748
Hg1 Hg 0.6667 0.3333 0.3830
# Energy of formation ... 0.9 eV per formula unit
# Total moment ... 0.000 μB/atom


[5]
# KSc2Se PBEsol optimized geometry
data_KSc2Se
_chemical_formula_sum 'K2 Sc4 Se2'
_cell_length_a 4.350
_cell_length_b 4.350
_cell_length_c 10.558
_cell_angle_alpha 90.00
_cell_angle_beta 90.00
_cell_angle_gamma 90.00
_symmetry_space_group_name_H-M 'I 4/m m m'
_symmetry_Int_Tables_number 139
_symmetry_space_group_name_Hall '-I 4 2'
loop_
_atom_site_label
_atom_site_type_symbol
_atom_site_fract_x
_atom_site_fract_y
_atom_site_fract_z
K1 K 0.000 0.000 0.000
Sc1 Sc 0.000 0.500 0.250
Se1 Se 0.000 0.000 0.500
# Total moment ... 0.000 μB/atom
# VASP energy ... -4.57 eV/atom


[6]
# TlIr2Au PBEsol optimized geometry
data_TlIr2Au
_chemical_formula_sum 'Tl1 Ir2 Au1'
_cell_length_a 2.782
_cell_length_b 3.599
_cell_length_c 7.343
_cell_angle_alpha 90.00
_cell_angle_beta 99.87
_cell_angle_gamma 90.00
_symmetry_space_group_name_H-M 'P 1 m 1'
_symmetry_Int_Tables_number 6
loop_
_symmetry_equiv_pos_as_xyz
'x,y,z'
'x,-y,z'
loop_
_atom_site_label
_atom_site_type_symbol
_atom_site_fract_x
_atom_site_fract_y
_atom_site_fract_z
Tl1 Tl 0.000 0.000 0.000
Ir1 Ir 0.050 0.500 0.699
Ir2 Ir 0.478 0.000 0.537
Au1 Au 0.872 0.500 0.296
# Energy of formation ... 1.6 eV per formula unit
# Total moment ... 0.000 μB/atom
# Relative energy among the computed polymorphs ... 0.000 eV per atom


[7]
# ZnHN2F PBEsol optimized geometry
data_ZnHN2F
_chemical_formula_sum 'Zn1 H1 N2 F1'
_cell_length_a 2.930
_cell_length_b 2.930
_cell_length_c 4.536
_cell_angle_alpha 90.00
_cell_angle_beta 90.00
_cell_angle_gamma 90.00
_symmetry_space_group_name_H-M 'P 4/m m m'
_symmetry_Int_Tables_number 123
_symmetry_space_group_name_Hall '-P 4 2'
loop_
_atom_site_label
_atom_site_type_symbol
_atom_site_fract_x
_atom_site_fract_y
_atom_site_fract_z
Zn1 Zn 0.000 0.000 0.000
H1 H 0.500 0.500 0.500
N1 N 0.000 0.500 0.500
F1 F 0.500 0.500 0.000
# Total moment ... 0.000 μB/atom
# Relative energy among the computed polymorphs ... 0.000 eV per atom


[8]
# Be2Nb2Au PBEsol optimized geometry
data_Be2Nb2Au
_chemical_formula_sum 'Be4 Nb4 Au2'
_cell_length_a 6.050
_cell_length_b 6.050
_cell_length_c 3.703
_cell_angle_alpha 90.00
_cell_angle_beta 90.00
_cell_angle_gamma 90.00
_symmetry_space_group_name_H-M 'P 4/m b m'
_symmetry_Int_Tables_number 127
_symmetry_space_group_name_Hall '-P 4 2ab'
loop_
_atom_site_label
_atom_site_type_symbol
_atom_site_fract_x
_atom_site_fract_y
_atom_site_fract_z
Be1 Be 0.128 0.372 0.000
Nb1 Nb 0.165 0.665 0.500
Au1 Au 0.000 0.000 0.000
# Energy of formation ... -1.3 eV per formula unit
# Total moment ... 0.000 μB/atom


[9]
# TaAs5 PBEsol optimized geometry
data_TaAs5
_chemical_formula_sum 'Ta1 As5'
_cell_length_a 4.9758
_cell_length_b 4.9758
_cell_length_c 4.8936
_cell_angle_alpha 90.00
_cell_angle_beta 90.00
_cell_angle_gamma 120.00
_symmetry_space_group_name_H-M 'P -6 2 m'
_symmetry_Int_Tables_number 189
_symmetry_space_group_name_Hall 'P -6 -2'
loop_
_atom_site_label
_atom_site_type_symbol
_atom_site_fract_x
_atom_site_fract_y
_atom_site_fract_z
Ta1 Ta 0.0000 0.0000 0.0000
As1 As 0.0000 0.3035 0.5000
As2 As 0.3333 0.6667 0.0000
# Energy of formation ... 0.8 eV per formula unit
# Total moment ... 0.000 μB/atom
# Relative energy among the computed polymorphs ... 0.059 eV per atom


[10]
# CsGe2Ir PBEsol optimized geometry
data_CsGe2Ir
_chemical_formula_sum 'Cs4 Ge8 Ir4'
_cell_length_a 6.519
_cell_length_b 6.519
_cell_length_c 12.804
_cell_angle_alpha 90.00
_cell_angle_beta 90.00
_cell_angle_gamma 90.00
_symmetry_space_group_name_H-M 'I 41/a m d'
_symmetry_Int_Tables_number 141
loop_
_symmetry_equiv_pos_as_xyz
'x,y,z'
'-x,-y,-z'
'-y+1/4,x+3/4,z+1/4'
'y+1/4,-x+3/4,-z+1/4'
'-x+1/2,-y,z+1/2'
'x+1/2,y,-z+1/2'
'y+1/4,-x+1/4,z+3/4'
'-y+1/4,x+1/4,-z+3/4'
'x,-y,-z'
'-x,y,z'
'-y+1/4,-x+1/4,-z+3/4'
'y+1/4,x+1/4,z+3/4'
'-x+1/2,y,-z+1/2'
'x+1/2,-y,z+1/2'
'y+1/4,x+3/4,-z+1/4'
'-y+1/4,-x+3/4,z+1/4'
'x+1/2,y+1/2,z+1/2'
'-x+1/2,-y+1/2,-z+1/2'
'-y+3/4,x+1/4,z+3/4'
'y+3/4,-x+1/4,-z+3/4'
'-x,-y+1/2,z'
'x,y+1/2,-z'
'y+3/4,-x+3/4,z+1/4'
'-y+3/4,x+3/4,-z+1/4'
'x+1/2,-y+1/2,-z+1/2'
'-x+1/2,y+1/2,z+1/2'
'-y+3/4,-x+3/4,-z+1/4'
'y+3/4,x+3/4,z+1/4'
'-x,y+1/2,-z'
'x,-y+1/2,z'
'y+3/4,x+1/4,-z+3/4'
'-y+3/4,-x+1/4,z+3/4'
loop_
_atom_site_label
_atom_site_type_symbol
_atom_site_fract_x
_atom_site_fract_y
_atom_site_fract_z
Cs1 Cs 0.000 0.250 0.375
Ge1 Ge 0.000 0.000 0.000
Ir1 Ir 0.000 0.250 0.875
# Energy of formation ... -0.6 eV per formula unit
# Total moment ... 0.000 μB/atom


[11]
# ScP2Pt PBEsol optimized geometry
data_ScP2Pt
_chemical_formula_sum 'Sc2 P4 Pt2'
_cell_length_a 3.800
_cell_length_b 5.466
_cell_length_c 6.280
_cell_angle_alpha 90.00
_cell_angle_beta 90.00
_cell_angle_gamma 90.00
_symmetry_space_group_name_H-M 'C m m m'
_symmetry_Int_Tables_number 65
_symmetry_space_group_name_Hall '-C 2 2'
loop_
_atom_site_label
_atom_site_type_symbol
_atom_site_fract_x
_atom_site_fract_y
_atom_site_fract_z
Sc1 Sc 0.000 0.000 0.000
P1 P 0.000 0.500 0.272
Pt1 Pt 0.000 0.000 0.500
# Energy of formation ... -2.3 eV per formula unit
# Total moment ... 0.000 μB/atom
# Relative energy among the computed polymorphs ... 0.205 eV per atom


[12]
# BaScSi3 PBEsol optimized geometry
data_BaScSi3
_chemical_formula_sum 'Ba1 Sc1 Si3'
_cell_length_a 5.283
_cell_length_b 5.283
_cell_length_c 5.283
_cell_angle_alpha 90.00
_cell_angle_beta 90.00
_cell_angle_gamma 90.00
_symmetry_space_group_name_H-M 'P m -3 m'
_symmetry_Int_Tables_number 221
_symmetry_space_group_name_Hall '-P 4 2 3'
loop_
_atom_site_label
_atom_site_type_symbol
_atom_site_fract_x
_atom_site_fract_y
_atom_site_fract_z
Ba1 Ba 0.000 0.000 0.000
Sc1 Sc 0.500 0.500 0.500
Si1 Si 0.000 0.000 0.500
# Total moment ... 0.000 μB/atom
# VASP energy ... -3.67 eV/atom


[13]
# Ag4P2S7 PBEsol optimized geometry
data_Ag4P2S7
_chemical_formula_sum 'Ag16 P8 S28'
_cell_length_a 10.691
_cell_length_b 6.417
_cell_length_c 16.018
_cell_angle_alpha 90.00
_cell_angle_beta 107.16
_cell_angle_gamma 90.00
_symmetry_space_group_name_H-M 'C 1 2/c 1'
_symmetry_Int_Tables_number 15
loop_
_symmetry_equiv_pos_as_xyz
'x,y,z'
'-x,-y,-z'
'-x,y,-z+1/2'
'x,-y,z+1/2'
'x+1/2,y+1/2,z'
'-x+1/2,-y+1/2,-z'
'-x+1/2,y+1/2,-z+1/2'
'x+1/2,-y+1/2,z+1/2'
loop_
_atom_site_label
_atom_site_type_symbol
_atom_site_fract_x
_atom_site_fract_y
_atom_site_fract_z
Ag1 Ag 0.034 0.211 0.053
Ag2 Ag 0.240 0.220 0.663
P1 P 0.112 0.184 0.858
S1 S 0.000 0.003 0.750
S2 S 0.004 0.374 0.597
S3 S 0.179 0.063 0.439
S4 S 0.238 0.168 0.177
# Total moment ... 0.000 μB/atom
# VASP energy ... -4.45 eV/atom


[14]
# Al2MoRu PBEsol optimized geometry
data_Al2MoRu
_chemical_formula_sum 'Al4 Mo2 Ru2'
_cell_length_a 2.974
_cell_length_b 4.289
_cell_length_c 8.956
_cell_angle_alpha 90.00
_cell_angle_beta 90.00
_cell_angle_gamma 90.00
_symmetry_space_group_name_H-M 'I m m 2'
_symmetry_Int_Tables_number 44
loop_
_symmetry_equiv_pos_as_xyz
'x,y,z'
'-x,-y,z'
'-x,y,z'
'x,-y,z'
'x+1/2,y+1/2,z+1/2'
'-x+1/2,-y+1/2,z+1/2'
'-x+1/2,y+1/2,z+1/2'
'x+1/2,-y+1/2,z+1/2'
loop_
_atom_site_label
_atom_site_type_symbol
_atom_site_fract_x
_atom_site_fract_y
_atom_site_fract_z
Al1 Al 0.000 0.000 0.000
Al2 Al 0.000 0.500 0.228
Mo1 Mo 0.000 0.500 0.754
Ru1 Ru 0.000 0.000 0.495
# Energy of formation ... -1.0 eV per formula unit
# Total moment ... 0.000 μB/atom
# Relative energy among the computed polymorphs ... 0.007 eV per atom


[15]
# CsLi3Mg PBEsol optimized geometry
data_CsLi3Mg
_chemical_formula_sum 'Cs1 Li3 Mg1'
_cell_length_a 5.739
_cell_length_b 5.739
_cell_length_c 5.739
_cell_angle_alpha 90.00
_cell_angle_beta 90.00
_cell_angle_gamma 90.00
_symmetry_space_group_name_H-M 'P m -3 m'
_symmetry_Int_Tables_number 221
_symmetry_space_group_name_Hall '-P 4 2 3'
loop_
_atom_site_label
_atom_site_type_symbol
_atom_site_fract_x
_atom_site_fract_y
_atom_site_fract_z
Cs1 Cs 0.000 0.000 0.000
Li1 Li 0.000 0.500 0.500
Mg1 Mg 0.500 0.500 0.500
# Energy of formation ... 1.2 eV per formula unit
# Total moment ... 0.000 μB/atom


[16]
# KYW PBEsol optimized geometry
data_KYW
_chemical_formula_sum 'K4 Y4 W4'
_cell_length_a 3.890
_cell_length_b 4.583
_cell_length_c 17.658
_cell_angle_alpha 90.00
_cell_angle_beta 90.00
_cell_angle_gamma 90.00
_symmetry_space_group_name_H-M 'F m m 2'
_symmetry_Int_Tables_number 42
_symmetry_space_group_name_Hall 'F 2 -2'
loop_
_atom_site_label
_atom_site_type_symbol
_atom_site_fract_x
_atom_site_fract_y
_atom_site_fract_z
K1 K 0.000 0.000 0.000
Y1 Y 0.000 0.000 0.288
W1 W 0.000 0.000 0.667
# Energy of formation ... 3.2 eV per formula unit
# Total moment ... 0.000 μB/atom


[17]
# Ba2MnZn PBEsol optimized geometry
data_Ba2MnZn
_chemical_formula_sum 'Ba2 Mn1 Zn1'
_cell_length_a 3.645
_cell_length_b 3.645
_cell_length_c 9.278
_cell_angle_alpha 90.00
_cell_angle_beta 90.00
_cell_angle_gamma 90.00
_symmetry_space_group_name_H-M 'P 4 m m'
_symmetry_Int_Tables_number 99
loop_
_symmetry_equiv_pos_as_xyz
'x,y,z'
'-y,x,z'
'-x,-y,z'
'y,-x,z'
'-x,y,z'
'y,x,z'
'x,-y,z'
'-y,-x,z'
loop_
_atom_site_label
_atom_site_type_symbol
_atom_site_fract_x
_atom_site_fract_y
_atom_site_fract_z
Ba1 Ba 0.000 0.000 0.000
Ba2 Ba 0.500 0.500 0.403
Mn1 Mn 0.000 0.000 0.660
Zn1 Zn 0.500 0.500 0.754
# Energy of formation ... 1.3 eV per formula unit
# Total moment ... 0.887 μB/atom


[18]
# ZnMo2Au PBEsol optimized geometry
data_ZnMo2Au
_chemical_formula_sum 'Zn1 Mo2 Au1'
_cell_length_a 2.696
_cell_length_b 4.307
_cell_length_c 5.309
_cell_angle_alpha 90.00
_cell_angle_beta 97.21
_cell_angle_gamma 90.00
_symmetry_space_group_name_H-M 'P 1 m 1'
_symmetry_Int_Tables_number 6
loop_
_symmetry_equiv_pos_as_xyz
'x,y,z'
'x,-y,z'
loop_
_atom_site_label
_atom_site_type_symbol
_atom_site_fract_x
_atom_site_fract_y
_atom_site_fract_z
Zn1 Zn 0.000 0.000 0.000
Mo1 Mo 0.418 0.500 0.767
Mo2 Mo 0.629 0.000 0.521
Au1 Au 0.069 0.500 0.255
# Energy of formation ... 0.4 eV per formula unit
# Total moment ... 0.000 μB/atom


[19]
# NiAs2Ir PBEsol optimized geometry
data_NiAs2Ir
_chemical_formula_sum 'Ni1 As2 Ir1'
_cell_length_a 2.918
_cell_length_b 2.918
_cell_length_c 7.420
_cell_angle_alpha 90.00
_cell_angle_beta 90.00
_cell_angle_gamma 90.00
_symmetry_space_group_name_H-M 'P 4 m m'
_symmetry_Int_Tables_number 99
loop_
_symmetry_equiv_pos_as_xyz
'x,y,z'
'-y,x,z'
'-x,-y,z'
'y,-x,z'
'-x,y,z'
'y,x,z'
'x,-y,z'
'-y,-x,z'
loop_
_atom_site_label
_atom_site_type_symbol
_atom_site_fract_x
_atom_site_fract_y
_atom_site_fract_z
Ni1 Ni 0.000 0.000 0.000
As1 As 0.000 0.000 0.560
As2 As 0.500 0.500 0.164
Ir1 Ir 0.500 0.500 0.758
# Energy of formation ... -0.2 eV per formula unit
# Total moment ... 0.000 μB/atom
# Relative energy among the computed polymorphs ... 0.000 eV per atom


[20]
# BiIrSe2 PBEsol optimized geometry
data_BiIrSe2
_chemical_formula_sum 'Bi4 Ir4 Se8'
_cell_length_a 7.448
_cell_length_b 7.448
_cell_length_c 6.101
_cell_angle_alpha 90.00
_cell_angle_beta 90.00
_cell_angle_gamma 90.00
_symmetry_space_group_name_H-M 'I -4 2 d'
_symmetry_Int_Tables_number 122
_symmetry_space_group_name_Hall 'I -4 2bw'
loop_
_atom_site_label
_atom_site_type_symbol
_atom_site_fract_x
_atom_site_fract_y
_atom_site_fract_z
Bi1 Bi 0.000 0.000 0.000
Ir1 Ir 0.000 0.000 0.500
Se1 Se 0.184 0.250 0.625
# Total moment ... 0.000 μB/atom
# VASP energy ... -5.44 eV/atom